Entry 1:
VASP calculation (GGA-PBE) on crystalline SbAs3Au at its relaxed geometry.

Values from the calculation:
The space-group type is Pm-3m (221). The calculation puts the final energy at -3.4959 eV/atom. As for the raw formation energy: 0.774 eV/atom. The magnetization is 0.000 μB/f.u.

a b c (Å): 5.0427 5.0427 5.0427
angles (deg): 90.00 90.00 90.00
Sites, in units of the cell vectors:
Sb (0.5000, 0.5000, 0.5000)
As (0.0000, 0.5000, 0.0000)
As (0.0000, 0.0000, 0.5000)
As (0.5000, 0.0000, 0.0000)
Au (0.0000, 0.0000, 0.0000)


Entry 2:
VASP calculation (GGA-PBE) on crystalline MgScRu at its relaxed geometry.

Values from the calculation:
The space-group type is F-43m (216). The calculation puts the final energy at -5.1993 eV/atom. For the energy of formation from the pure elements, the calculation gives 0.535 eV per atom. The magnetization is 0.000 μB/f.u.

a b c (Å): 4.4711 4.4711 4.4711
angles (deg): 60.00 60.00 60.00
Sites, in units of the cell vectors:
Mg (0.0000, 0.0000, 0.0000)
Ru (0.5000, 0.5000, 0.5000)
Sc (0.7500, 0.7500, 0.7500)


Entry 3:
VASP calculation (GGA-PBE) on crystalline Na3NbSn3S8 at its relaxed geometry.

Values from the calculation:
The space-group type is C2/m (12). The calculation puts the final energy at -4.7381 eV/atom. As for the raw formation energy: -0.801 eV/atom. The magnetization is 0.000 μB/f.u.

a b c (Å): 7.7846 7.7518 8.1118
angles (deg): 118.31 90.00 120.14
Sites, in units of the cell vectors:
Na (0.0000, 0.0000, 0.0000)
Na (0.0000, 0.5000, 0.0000)
Na (0.5000, 0.5000, 0.0000)
Nb (0.0000, 0.0000, 0.5000)
Sn (0.5000, 0.0000, 0.5000)
Sn (0.5000, 0.5000, 0.5000)
Sn (0.0000, 0.5000, 0.5000)
S (0.2528, 0.5056, 0.2626)
S (0.7472, 0.4944, 0.7374)
S (0.7767, 0.5533, 0.2949)
S (0.2233, 0.4467, 0.7051)
S (0.7787, 0.0197, 0.2959)
S (0.2213, 0.9803, 0.7041)
S (0.2410, 0.0197, 0.2959)
S (0.7590, 0.9803, 0.7041)